# LiCuW2 PBE-GGA relaxed
data_LiCuW2
_chemical_formula_sum 'Li3 Cu3 W6'
_cell_length_a 2.7099
_cell_length_b 2.7099
_cell_length_c 28.7323
_cell_angle_alpha 90.00
_cell_angle_beta 90.00
_cell_angle_gamma 120.00
_symmetry_space_group_name_H-M 'R -3 m'
_symmetry_Int_Tables_number 166
_symmetry_space_group_name_Hall '-R 3 2"'
loop_
_atom_site_label
_atom_site_type_symbol
_atom_site_fract_x
_atom_site_fract_y
_atom_site_fract_z
Li1 Li 0.0000 0.0000 0.0000
Cu1 Cu 0.0000 0.0000 0.5000
W1 W 0.0000 0.0000 0.2457
# - DFT formation energy: 0.481 eV/atom
# - Mass density: 11.946 g/cm3
# - Polymorph energy (0 for the lowest one): 22.7 kJ/mol of atoms



# Zr3PRh PBE-GGA relaxed
data_Zr3PRh
_chemical_formula_sum 'Zr3 P1 Rh1'
_cell_length_a 4.7993
_cell_length_b 4.7993
_cell_length_c 4.7993
_cell_angle_alpha 90.00
_cell_angle_beta 90.00
_cell_angle_gamma 90.00
_symmetry_space_group_name_H-M 'P m -3 m'
_symmetry_Int_Tables_number 221
_symmetry_space_group_name_Hall '-P 4 2 3'
loop_
_atom_site_label
_atom_site_type_symbol
_atom_site_fract_x
_atom_site_fract_y
_atom_site_fract_z
Zr1 Zr 0.0000 0.0000 0.5000
P1 P 0.0000 0.0000 0.0000
Rh1 Rh 0.5000 0.5000 0.5000
# - DFT formation energy: -0.190 eV/atom
# - Mass density: 6.122 g/cm3
# - Polymorph energy (0 for the lowest one): 0.0 kJ/mol of atoms



# HfZr2Pd PBE-GGA relaxed
data_HfZr2Pd
_chemical_formula_sum 'Hf1 Zr2 Pd1'
_cell_length_a 5.0131
_cell_length_b 5.0131
_cell_length_c 3.2436
_cell_angle_alpha 90.00
_cell_angle_beta 90.00
_cell_angle_gamma 90.00
_symmetry_space_group_name_H-M 'P 4/m m m'
_symmetry_Int_Tables_number 123
_symmetry_space_group_name_Hall '-P 4 2'
loop_
_atom_site_label
_atom_site_type_symbol
_atom_site_fract_x
_atom_site_fract_y
_atom_site_fract_z
Hf1 Hf 0.0000 0.0000 0.0000
Zr1 Zr 0.0000 0.5000 0.5000
Pd1 Pd 0.5000 0.5000 0.0000
# - DFT formation energy: -0.218 eV/atom
# - Mass density: 9.521 g/cm3
# - Polymorph energy (0 for the lowest one): 13.3 kJ/mol of atoms



# Cr4In3 PBE-GGA relaxed
data_Cr4In3
_chemical_formula_sum 'Cr4 In3'
_cell_length_a 5.5373
_cell_length_b 5.5373
_cell_length_c 4.8416
_cell_angle_alpha 90.00
_cell_angle_beta 90.00
_cell_angle_gamma 120.00
_symmetry_space_group_name_H-M 'P 6/m m m'
_symmetry_Int_Tables_number 191
_symmetry_space_group_name_Hall '-P 6 2'
loop_
_atom_site_label
_atom_site_type_symbol
_atom_site_fract_x
_atom_site_fract_y
_atom_site_fract_z
Cr1 Cr 0.0000 0.0000 0.1893
Cr2 Cr 0.3333 0.6667 0.0000
In1 In 0.0000 0.5000 0.5000
# - DFT formation energy: 0.747 eV/atom
# - Mass density: 7.135 g/cm3



Which of these has the lowest DFT formation energy? HfZr2Pd



What did the first record say?
# LiCuW2 PBE-GGA relaxed
data_LiCuW2
_chemical_formula_sum 'Li3 Cu3 W6'
_cell_length_a 2.7099
_cell_length_b 2.7099
_cell_length_c 28.7323
_cell_angle_alpha 90.00
_cell_angle_beta 90.00
_cell_angle_gamma 120.00
_symmetry_space_group_name_H-M 'R -3 m'
_symmetry_Int_Tables_number 166
_symmetry_space_group_name_Hall '-R 3 2"'
loop_
_atom_site_label
_atom_site_type_symbol
_atom_site_fract_x
_atom_site_fract_y
_atom_site_fract_z
Li1 Li 0.0000 0.0000 0.0000
Cu1 Cu 0.0000 0.0000 0.5000
W1 W 0.0000 0.0000 0.2457
# - DFT formation energy: 0.481 eV/atom
# - Mass density: 11.946 g/cm3
# - Polymorph energy (0 for the lowest one): 22.7 kJ/mol of atoms



Which of these has the highest DFT formation energy? Cr4In3